An optimized crystal structure of BaPmCrO4, computed with PBE with a Hubbard U.

```
BaPmCrO4
1.0
-1.980 1.980 6.365
1.980 -1.980 6.365
1.980 1.980 -6.365
Ba Pm Cr O
1 1 1 4
direct
0.000 0.000 0.000
0.717 0.717 0.000
0.353 0.353 0.000
0.196 0.196 0.000
0.339 0.839 0.500
0.530 0.530 0.000
0.839 0.339 0.500
```

Results
Density   6.62 g cm⁻³
Size of the total moment   3.0 μB per formula unit
DFT total energy   -7.505 eV per atom